(1)
# RbBaPd | Alexandria via LeMat-Bulk | PBE | optimized geometry
# space-group type	No. 12
# crystal system	monoclinic
# ΔE_f	-46	kJ/mol of formula units
# VASP energy	-2.854	eV per atom
data_RbBaPd
_cell_length_a 5.251
_cell_length_b 5.251
_cell_length_c 12.854
_cell_angle_alpha 78.24
_cell_angle_beta 78.24
_cell_angle_gamma 60.18
_symmetry_space_group_name_H-M 'P 1'
_symmetry_Int_Tables_number 1
_symmetry_space_group_name_Hall 'P 1'
loop_
_atom_site_label
_atom_site_type_symbol
_atom_site_fract_x
_atom_site_fract_y
_atom_site_fract_z
Rb1 Rb 0.992 0.992 0.305
Ba1 Ba 0.509 0.509 0.758
Ba2 Ba 0.244 0.244 0.549
Rb2 Rb 0.761 0.761 0.003
Pd1 Pd 0.154 0.154 0.822
Pd2 Pd 0.599 0.599 0.485

---

(2)
# Nd2TmZrAs4 | Alexandria via LeMat-Bulk | PBE | optimized geometry
# space-group type	No. 10
# crystal system	monoclinic
# ΔE_f	-1087	kJ/mol of formula units
# VASP energy	-6.552	eV per atom
data_Nd2TmZrAs4
_cell_length_a 4.104
_cell_length_b 7.109
_cell_length_c 7.126
_cell_angle_alpha 109.29
_cell_angle_beta 90.00
_cell_angle_gamma 90.00
_symmetry_space_group_name_H-M 'P 1'
_symmetry_Int_Tables_number 1
_symmetry_space_group_name_Hall 'P 1'
loop_
_atom_site_label
_atom_site_type_symbol
_atom_site_fract_x
_atom_site_fract_y
_atom_site_fract_z
Tm1 Tm 0.500 0.500 0.000
As1 As 0.000 0.250 0.768
As2 As 0.500 0.238 0.229
As3 As 0.000 0.750 0.232
Nd1 Nd 0.500 0.000 0.500
As4 As 0.500 0.762 0.771
Zr1 Zr 0.000 0.000 0.000
Nd2 Nd 0.000 0.500 0.500

---

(3)
# SrTl2CdSb2 | Alexandria via LeMat-Bulk | PBE | optimized geometry
# space-group type	No. 26
# crystal system	orthorhombic
# VASP energy	-2.976	eV per atom
# raw formation energy	-0.381	eV/atom
data_SrTl2CdSb2
_cell_length_a 4.891
_cell_length_b 7.913
_cell_length_c 10.165
_cell_angle_alpha 90.00
_cell_angle_beta 90.00
_cell_angle_gamma 90.00
_symmetry_space_group_name_H-M 'P 1'
_symmetry_Int_Tables_number 1
_symmetry_space_group_name_Hall 'P 1'
loop_
_atom_site_label
_atom_site_type_symbol
_atom_site_fract_x
_atom_site_fract_y
_atom_site_fract_z
Tl1 Tl 0.500 0.022 0.104
Sb1 Sb 0.000 0.746 0.185
Cd1 Cd 0.500 0.659 0.331
Sr1 Sr 0.000 0.997 0.450
Tl2 Tl 0.000 0.344 0.156
Tl3 Tl 0.000 0.844 0.844
Sb2 Sb 0.500 0.278 0.384
Sb3 Sb 0.500 0.778 0.616
Sb4 Sb 0.000 0.246 0.815
Sr2 Sr 0.000 0.497 0.550
Tl4 Tl 0.500 0.522 0.896
Cd2 Cd 0.500 0.159 0.669

---

(4)
# ThMg2Zr | Alexandria via LeMat-Bulk | PBE | optimized geometry
# energy above the most stable polymorph in this dataset	0.009	eV per atom
# space-group type	No. 123
# crystal system	tetragonal
# ΔE_f	48	kJ/mol of formula units
# VASP energy	-4.664	eV per atom
data_ThMg2Zr
_cell_length_a 4.887
_cell_length_b 4.553
_cell_length_c 4.553
_cell_angle_alpha 90.00
_cell_angle_beta 90.00
_cell_angle_gamma 90.00
_symmetry_space_group_name_H-M 'P 1'
_symmetry_Int_Tables_number 1
_symmetry_space_group_name_Hall 'P 1'
loop_
_atom_site_label
_atom_site_type_symbol
_atom_site_fract_x
_atom_site_fract_y
_atom_site_fract_z
Mg1 Mg 0.000 0.500 0.000
Zr1 Zr 0.500 0.000 0.000
Mg2 Mg 0.000 0.000 0.500
Th1 Th 0.500 0.500 0.500

---

(5)
# BaTeWN2 | Alexandria via LeMat-Bulk | PBE | optimized geometry
# energy above the most stable polymorph in this dataset	2.255	eV per atom
# space-group type	No. 123
# crystal system	tetragonal
# VASP energy	-4.575	eV per atom
# raw formation energy	2.359	eV/atom
data_BaTeWN2
_cell_length_a 4.462
_cell_length_b 4.462
_cell_length_c 7.414
_cell_angle_alpha 90.00
_cell_angle_beta 90.00
_cell_angle_gamma 90.00
_symmetry_space_group_name_H-M 'P 1'
_symmetry_Int_Tables_number 1
_symmetry_space_group_name_Hall 'P 1'
loop_
_atom_site_label
_atom_site_type_symbol
_atom_site_fract_x
_atom_site_fract_y
_atom_site_fract_z
Ba1 Ba 0.000 0.000 0.000
W1 W 0.500 0.500 0.500
N1 N 0.500 0.000 0.000
N2 N 0.000 0.500 0.000
Te1 Te 0.000 0.000 0.500

---

(6)
# Ti6MoRh | Alexandria via LeMat-Bulk | PBE | optimized geometry
# space-group type	No. 139
# crystal system	tetragonal
# ΔE_f	-185	kJ/mol of formula units
# VASP energy	-8.434	eV per atom
data_Ti6MoRh
_cell_length_a 4.419
_cell_length_b 4.419
_cell_length_c 7.355
_cell_angle_alpha 72.52
_cell_angle_beta 72.52
_cell_angle_gamma 90.00
_symmetry_space_group_name_H-M 'P 1'
_symmetry_Int_Tables_number 1
_symmetry_space_group_name_Hall 'P 1'
loop_
_atom_site_label
_atom_site_type_symbol
_atom_site_fract_x
_atom_site_fract_y
_atom_site_fract_z
Ti1 Ti 0.254 0.254 0.493
Ti2 Ti 0.385 0.885 0.229
Mo1 Mo 0.500 0.500 0.000
Ti3 Ti 0.746 0.746 0.507
Rh1 Rh 0.000 0.000 0.000
Ti4 Ti 0.885 0.385 0.229
Ti5 Ti 0.115 0.615 0.771
Ti6 Ti 0.615 0.115 0.771

---

(7)
# Y2ReAu | Alexandria via LeMat-Bulk | PBE | optimized geometry
# energy above the most stable polymorph in this dataset	0.506	eV per atom
# space-group type	No. 216
# crystal system	cubic
# ΔE_f	89	kJ/mol of formula units
# VASP energy	-6.934	eV per atom
data_Y2ReAu
_cell_length_a 4.909
_cell_length_b 4.909
_cell_length_c 4.909
_cell_angle_alpha 60.00
_cell_angle_beta 60.00
_cell_angle_gamma 60.00
_symmetry_space_group_name_H-M 'P 1'
_symmetry_Int_Tables_number 1
_symmetry_space_group_name_Hall 'P 1'
loop_
_atom_site_label
_atom_site_type_symbol
_atom_site_fract_x
_atom_site_fract_y
_atom_site_fract_z
Re1 Re 0.750 0.750 0.750
Au1 Au 0.500 0.500 0.500
Y1 Y 0.000 0.000 0.000
Y2 Y 0.250 0.250 0.250

---

(8)
# Pr2Sm3Sn2 | Alexandria via LeMat-Bulk | PBE | optimized geometry
# space-group type	No. 12
# crystal system	monoclinic
# ΔE_f	-313	kJ/mol of formula units
# VASP energy	-4.995	eV per atom
data_Pr2Sm3Sn2
_cell_length_a 4.595
_cell_length_b 6.454
_cell_length_c 8.742
_cell_angle_alpha 107.70
_cell_angle_beta 90.00
_cell_angle_gamma 110.85
_symmetry_space_group_name_H-M 'P 1'
_symmetry_Int_Tables_number 1
_symmetry_space_group_name_Hall 'P 1'
loop_
_atom_site_label
_atom_site_type_symbol
_atom_site_fract_x
_atom_site_fract_y
_atom_site_fract_z
Pr1 Pr 0.864 0.727 0.210
Sm1 Sm 0.370 0.740 0.559
Sn1 Sn 0.169 0.339 0.199
Sn2 Sn 0.831 0.661 0.801
Sm2 Sm 0.500 0.000 0.000
Sm3 Sm 0.630 0.260 0.441
Pr2 Pr 0.136 0.273 0.790

---

(9)
# TlCuAu4 | Alexandria via LeMat-Bulk | PBE | optimized geometry
# space-group type	No. 216
# crystal system	cubic
# ΔE_f	90	kJ/mol of formula units
# VASP energy	-3.107	eV per atom
data_TlCuAu4
_cell_length_a 5.580
_cell_length_b 5.580
_cell_length_c 5.580
_cell_angle_alpha 60.00
_cell_angle_beta 60.00
_cell_angle_gamma 60.00
_symmetry_space_group_name_H-M 'P 1'
_symmetry_Int_Tables_number 1
_symmetry_space_group_name_Hall 'P 1'
loop_
_atom_site_label
_atom_site_type_symbol
_atom_site_fract_x
_atom_site_fract_y
_atom_site_fract_z
Tl1 Tl 0.000 0.000 0.000
Au1 Au 0.375 0.375 0.375
Au2 Au 0.375 0.375 0.874
Au3 Au 0.375 0.874 0.375
Cu1 Cu 0.750 0.750 0.750
Au4 Au 0.874 0.375 0.375

---

(10)
# TiRuS3 | Alexandria via LeMat-Bulk | PBE | optimized geometry
# energy above the most stable polymorph in this dataset	0.060	eV per atom
# space-group type	No. 221
# crystal system	cubic
# VASP energy	-5.601	eV per atom
# raw formation energy	0.309	eV/atom
data_TiRuS3
_cell_length_a 4.559
_cell_length_b 4.559
_cell_length_c 4.559
_cell_angle_alpha 90.00
_cell_angle_beta 90.00
_cell_angle_gamma 90.00
_symmetry_space_group_name_H-M 'P 1'
_symmetry_Int_Tables_number 1
_symmetry_space_group_name_Hall 'P 1'
loop_
_atom_site_label
_atom_site_type_symbol
_atom_site_fract_x
_atom_site_fract_y
_atom_site_fract_z
Ru1 Ru 0.000 0.000 0.000
S1 S 0.000 0.500 0.000
Ti1 Ti 0.500 0.500 0.500
S2 S 0.500 0.000 0.000
S3 S 0.000 0.000 0.500

---

(11)
# PmMgSb2 | Alexandria via LeMat-Bulk | PBE | optimized geometry
# energy above the most stable polymorph in this dataset	0.098	eV per atom
# space-group type	No. 123
# crystal system	tetragonal
# VASP energy	-4.255	eV per atom
# raw formation energy	-0.607	eV/atom
data_PmMgSb2
_cell_length_a 4.187
_cell_length_b 5.027
_cell_length_c 5.027
_cell_angle_alpha 90.00
_cell_angle_beta 90.00
_cell_angle_gamma 90.00
_symmetry_space_group_name_H-M 'P 1'
_symmetry_Int_Tables_number 1
_symmetry_space_group_name_Hall 'P 1'
loop_
_atom_site_label
_atom_site_type_symbol
_atom_site_fract_x
_atom_site_fract_y
_atom_site_fract_z
Mg1 Mg 0.500 0.000 0.000
Pm1 Pm 0.500 0.500 0.500
Sb1 Sb 0.000 0.500 0.000
Sb2 Sb 0.000 0.000 0.500

---

(12)
# Tl2IrW | Alexandria via LeMat-Bulk | PBE | optimized geometry
# energy above the most stable polymorph in this dataset	0.543	eV per atom
# space-group type	No. 71
# crystal system	orthorhombic
# ΔE_f	353	kJ/mol of formula units
# VASP energy	-5.721	eV per atom
data_Tl2IrW
_cell_length_a 5.729
_cell_length_b 5.729
_cell_length_c 5.729
_cell_angle_alpha 149.24
_cell_angle_beta 125.70
_cell_angle_gamma 63.72
_symmetry_space_group_name_H-M 'P 1'
_symmetry_Int_Tables_number 1
_symmetry_space_group_name_Hall 'P 1'
loop_
_atom_site_label
_atom_site_type_symbol
_atom_site_fract_x
_atom_site_fract_y
_atom_site_fract_z
Tl1 Tl 0.490 0.490 0.000
W1 W 0.750 0.250 0.500
Tl2 Tl 0.010 0.010 0.000
Ir1 Ir 0.250 0.750 0.500

---

(13)
# TmPuGe | Alexandria via LeMat-Bulk | PBE | optimized geometry
# space-group type	No. 12
# crystal system	monoclinic
# ΔE_f	-84	kJ/mol of formula units
# VASP energy	-8.097	eV per atom
data_TmPuGe
_cell_length_a 3.506
_cell_length_b 5.297
_cell_length_c 8.214
_cell_angle_alpha 97.59
_cell_angle_beta 102.30
_cell_angle_gamma 90.01
_symmetry_space_group_name_H-M 'P 1'
_symmetry_Int_Tables_number 1
_symmetry_space_group_name_Hall 'P 1'
loop_
_atom_site_label
_atom_site_type_symbol
_atom_site_fract_x
_atom_site_fract_y
_atom_site_fract_z
Ge1 Ge 0.364 0.090 0.415
Pu1 Pu 0.851 0.587 0.388
Tm1 Tm 0.146 0.509 0.978
Ge2 Ge 0.496 0.461 0.678
Tm2 Tm 0.714 0.041 0.115
Pu2 Pu 0.009 0.963 0.705

---

(14)
# SrAl2W | Alexandria via LeMat-Bulk | PBE | optimized geometry
# energy above the most stable polymorph in this dataset	0.405	eV per atom
# space-group type	No. 12
# crystal system	monoclinic
# ΔE_f	214	kJ/mol of formula units
# VASP energy	-4.976	eV per atom
data_SrAl2W
_cell_length_a 6.983
_cell_length_b 5.276
_cell_length_c 2.905
_cell_angle_alpha 89.88
_cell_angle_beta 65.62
_cell_angle_gamma 123.24
_symmetry_space_group_name_H-M 'P 1'
_symmetry_Int_Tables_number 1
_symmetry_space_group_name_Hall 'P 1'
loop_
_atom_site_label
_atom_site_type_symbol
_atom_site_fract_x
_atom_site_fract_y
_atom_site_fract_z
Sr1 Sr 0.000 0.500 0.500
W1 W 0.500 0.500 0.000
Al1 Al 0.500 0.000 0.500
Al2 Al 0.000 0.000 0.000

---

(15)
# CsIn2Hg9 | Alexandria via LeMat-Bulk | PBE | optimized geometry
# energy above the most stable polymorph in this dataset	0.000	eV per atom
# space-group type	No. 191
# crystal system	hexagonal
# ΔE_f	-78	kJ/mol of formula units
# VASP energy	-0.821	eV per atom
data_CsIn2Hg9
_cell_length_a 3.622
_cell_length_b 10.666
_cell_length_c 10.666
_cell_angle_alpha 120.00
_cell_angle_beta 90.00
_cell_angle_gamma 90.00
_symmetry_space_group_name_H-M 'P 1'
_symmetry_Int_Tables_number 1
_symmetry_space_group_name_Hall 'P 1'
loop_
_atom_site_label
_atom_site_type_symbol
_atom_site_fract_x
_atom_site_fract_y
_atom_site_fract_z
Hg1 Hg 0.500 0.819 0.639
Hg2 Hg 0.500 0.361 0.181
Hg3 Hg 0.500 0.181 0.819
Hg4 Hg 0.500 0.639 0.819
In1 In 0.000 0.667 0.333
Hg5 Hg 0.500 0.181 0.361
Cs1 Cs 0.000 0.000 0.000
Hg6 Hg 0.000 0.500 0.500
In2 In 0.000 0.333 0.667
Hg7 Hg 0.500 0.819 0.181
Hg8 Hg 0.000 0.500 0.000
Hg9 Hg 0.000 0.000 0.500

---

(16)
# RbBiB3 | Alexandria via LeMat-Bulk | PBE | optimized geometry
# energy above the most stable polymorph in this dataset	0.000	eV per atom
# space-group type	No. 221
# crystal system	cubic
# ΔE_f	1022	kJ/mol of formula units
# VASP energy	-2.858	eV per atom
data_RbBiB3
_cell_length_a 5.015
_cell_length_b 5.015
_cell_length_c 5.015
_cell_angle_alpha 90.00
_cell_angle_beta 90.00
_cell_angle_gamma 90.00
_symmetry_space_group_name_H-M 'P 1'
_symmetry_Int_Tables_number 1
_symmetry_space_group_name_Hall 'P 1'
loop_
_atom_site_label
_atom_site_type_symbol
_atom_site_fract_x
_atom_site_fract_y
_atom_site_fract_z
Bi1 Bi 0.000 0.000 0.000
Rb1 Rb 0.500 0.500 0.500
B1 B 0.000 0.000 0.500
B2 B 0.500 0.000 0.000
B3 B 0.000 0.500 0.000

---

(17)
# Cs2KNaH | Alexandria via LeMat-Bulk | PBE | optimized geometry
# energy above the most stable polymorph in this dataset	0.069	eV per atom
# space-group type	No. 123
# crystal system	tetragonal
# VASP energy	-1.438	eV per atom
data_Cs2KNaH
_cell_length_a 6.157
_cell_length_b 6.157
_cell_length_c 7.322
_cell_angle_alpha 90.00
_cell_angle_beta 90.00
_cell_angle_gamma 90.00
_symmetry_space_group_name_H-M 'P 1'
_symmetry_Int_Tables_number 1
_symmetry_space_group_name_Hall 'P 1'
loop_
_atom_site_label
_atom_site_type_symbol
_atom_site_fract_x
_atom_site_fract_y
_atom_site_fract_z
H1 H 0.000 0.000 0.000
Na1 Na 0.000 0.000 0.500
K1 K 0.500 0.500 0.500
Cs1 Cs 0.500 0.000 0.000
Cs2 Cs 0.000 0.500 0.000

---

(18)
# Pr6Ho2In | Alexandria via LeMat-Bulk | PBE | optimized geometry
# energy above the most stable polymorph in this dataset	0.000	eV per atom
# space-group type	No. 136
# crystal system	tetragonal
# ΔE_f	-55	kJ/mol of formula units
# VASP energy	-4.572	eV per atom
data_Pr6Ho2In
_cell_length_a 5.021
_cell_length_b 10.943
_cell_length_c 10.943
_cell_angle_alpha 90.00
_cell_angle_beta 90.00
_cell_angle_gamma 90.00
_symmetry_space_group_name_H-M 'P 1'
_symmetry_Int_Tables_number 1
_symmetry_space_group_name_Hall 'P 1'
loop_
_atom_site_label
_atom_site_type_symbol
_atom_site_fract_x
_atom_site_fract_y
_atom_site_fract_z
In1 In 0.000 0.000 0.500
Ho1 Ho 0.000 0.662 0.163
Pr1 Pr 0.500 0.506 0.668
Pr2 Pr 0.000 0.994 0.168
Pr3 Pr 0.500 0.168 0.005
In2 In 0.500 0.500 0.000
Pr4 Pr 0.000 0.006 0.832
Pr5 Pr 0.500 0.157 0.657
Pr6 Pr 0.000 0.668 0.495
Ho2 Ho 0.500 0.162 0.337
Pr7 Pr 0.500 0.494 0.332
Pr8 Pr 0.000 0.343 0.157
Ho3 Ho 0.500 0.838 0.663
Pr9 Pr 0.500 0.843 0.343
Ho4 Ho 0.000 0.338 0.837
Pr10 Pr 0.500 0.832 0.995
Pr11 Pr 0.000 0.657 0.843
Pr12 Pr 0.000 0.332 0.505

---

(19)
# LaAsSe2N | Alexandria via LeMat-Bulk | PBE | optimized geometry
# energy above the most stable polymorph in this dataset	0.000	eV per atom
# space-group type	No. 123
# crystal system	tetragonal
# VASP energy	-5.278	eV per atom
# raw formation energy	-0.304	eV/atom
data_LaAsSe2N
_cell_length_a 5.215
_cell_length_b 5.215
_cell_length_c 3.881
_cell_angle_alpha 90.00
_cell_angle_beta 90.00
_cell_angle_gamma 90.00
_symmetry_space_group_name_H-M 'P 1'
_symmetry_Int_Tables_number 1
_symmetry_space_group_name_Hall 'P 1'
loop_
_atom_site_label
_atom_site_type_symbol
_atom_site_fract_x
_atom_site_fract_y
_atom_site_fract_z
La1 La 0.500 0.500 0.500
N1 N 0.000 0.000 0.500
As1 As 0.000 0.000 0.000
Se1 Se 0.500 0.000 0.000
Se2 Se 0.000 0.500 0.000

---

(20)
# Rb8PO3 | Alexandria via LeMat-Bulk | PBE | optimized geometry
# space-group type	No. 221
# crystal system	cubic
# VASP energy	-2.959	eV per atom
# raw formation energy	-0.624	eV/atom
data_Rb8PO3
_cell_length_a 7.230
_cell_length_b 7.230
_cell_length_c 7.230
_cell_angle_alpha 90.00
_cell_angle_beta 90.00
_cell_angle_gamma 90.00
_symmetry_space_group_name_H-M 'P 1'
_symmetry_Int_Tables_number 1
_symmetry_space_group_name_Hall 'P 1'
loop_
_atom_site_label
_atom_site_type_symbol
_atom_site_fract_x
_atom_site_fract_y
_atom_site_fract_z
Rb1 Rb 0.262 0.738 0.738
Rb2 Rb 0.262 0.262 0.738
P1 P 0.000 0.000 0.000
Rb3 Rb 0.738 0.738 0.738
Rb4 Rb 0.738 0.262 0.262
Rb5 Rb 0.738 0.738 0.262
Rb6 Rb 0.262 0.738 0.262
O1 O 0.500 0.000 0.500
O2 O 0.000 0.500 0.500
O3 O 0.500 0.500 0.000
Rb7 Rb 0.738 0.262 0.738
Rb8 Rb 0.262 0.262 0.262